Record 1
# PBE BeTc2Te, optimized geometry
# - DFT total energy (eV per formula unit) = -26.34
# - formation energy from raw total energies (eV/atom) = 0.314
# - calculated volume (A^3/atom) = 14.87
# - total magnetization (μB per formula unit) = 0.00
# - energy relative to the lowest polymorph listed for this composition (meV per atom) = 182
data_BeTc2Te
_chemical_formula_sum 'Be1 Tc2 Te1'
_cell_length_a 3.1479
_cell_length_b 3.3584
_cell_length_c 5.7144
_cell_angle_alpha 90.00
_cell_angle_beta 100.12
_cell_angle_gamma 90.00
_symmetry_space_group_name_H-M 'P 1 2/m 1'
_symmetry_Int_Tables_number 10
_symmetry_space_group_name_Hall '-P 2y'
loop_
_atom_site_label
_atom_site_type_symbol
_atom_site_fract_x
_atom_site_fract_y
_atom_site_fract_z
Be1 Be 0.0000 0.0000 0.0000
Tc1 Tc 0.3873 0.5000 0.2186
Te1 Te 0.0000 0.0000 0.5000


Record 2
# PBE CeGaIr3, optimized geometry
# - DFT total energy (eV per formula unit) = -35.31
# - calculated volume (A^3/atom) = 24.91
# - total magnetization (μB per formula unit) = 0.00
# - calculated formation energy (meV/atom) = 48
data_CeGaIr3
_chemical_formula_sum 'Ce4 Ga4 Ir12'
_cell_length_a 6.9903
_cell_length_b 14.4561
_cell_length_c 4.9306
_cell_angle_alpha 90.00
_cell_angle_beta 90.00
_cell_angle_gamma 90.00
_symmetry_space_group_name_H-M 'C m c m'
_symmetry_Int_Tables_number 63
_symmetry_space_group_name_Hall '-C 2c 2'
loop_
_atom_site_label
_atom_site_type_symbol
_atom_site_fract_x
_atom_site_fract_y
_atom_site_fract_z
Ce1 Ce 0.0000 0.1138 0.2500
Ga1 Ga 0.0000 0.3397 0.2500
Ir1 Ir 0.0000 0.5000 0.0000
Ir2 Ir 0.1867 0.0647 0.7500


Record 3
# PBE K3SmDy2Te6, optimized geometry
# - DFT total energy (eV per formula unit) = -52.89
# - formation energy from raw total energies (eV/atom) = -1.402
# - calculated volume (A^3/atom) = 36.49
# - total magnetization (μB per formula unit) = 0.00
data_K3SmDy2Te6
_chemical_formula_sum 'K6 Sm2 Dy4 Te12'
_cell_length_a 7.8292
_cell_length_b 13.5621
_cell_length_c 8.6508
_cell_angle_alpha 90.00
_cell_angle_beta 107.57
_cell_angle_gamma 90.00
_symmetry_space_group_name_H-M 'C 1 2/m 1'
_symmetry_Int_Tables_number 12
_symmetry_space_group_name_Hall '-C 2y'
loop_
_atom_site_label
_atom_site_type_symbol
_atom_site_fract_x
_atom_site_fract_y
_atom_site_fract_z
K1 K 0.0000 0.0000 0.0000
K2 K 0.0000 0.3349 0.0000
Sm1 Sm 0.0000 0.5000 0.5000
Dy1 Dy 0.0000 0.1669 0.5000
Te1 Te 0.2317 0.0000 0.7093
Te2 Te 0.2391 0.3310 0.7099